No. 1
The following is a PBE calculation of AgTe3Au after structural relaxation, from Alexandria via LeMat-Bulk.

Values from the calculation:
- distance to the lowest polymorph of the same formula (meV/atom) = 745
- raw formation energy (eV/atom) = 0.797
- Fermi-level density of states (states/eV/atom) = 1.37
- size of the total moment (μB/atom) = 0.00

Lattice parameters (Å, degrees): 5.4058 5.4058 5.4058 90.00 90.00 90.00
Element x y z (fractional)
Te (0.0000, 0.0000, 0.5000)
Au (0.5000, 0.5000, 0.5000)
Te (0.5000, 0.0000, 0.0000)
Te (0.0000, 0.5000, 0.0000)
Ag (0.0000, 0.0000, 0.0000)

No. 2
The following is a PBE calculation of NbV3Ge2 after structural relaxation, from Alexandria via LeMat-Bulk.

Values from the calculation:
- Fermi-level density of states (states/eV/atom) = 0.55
- ΔH_f (0 K) (eV/atom) = -0.24
- size of the total moment (μB/atom) = 0.00

Lattice parameters (Å, degrees): 3.3531 8.5872 7.7083 123.00 90.00 101.26
Element x y z (fractional)
Ge (0.5129, 0.0257, 0.1858)
Nb (0.8827, 0.7654, 0.8955)
V (0.3621, 0.7242, 0.1876)
Nb (0.1173, 0.2346, 0.1045)
V (0.3122, 0.6244, 0.5304)
V (0.9464, 0.8927, 0.5386)
Ge (0.7621, 0.5242, 0.2356)
V (0.6379, 0.2758, 0.8124)
Ge (0.4871, 0.9743, 0.8142)
Ge (0.2379, 0.4758, 0.7644)
V (0.0536, 0.1073, 0.4614)
V (0.6878, 0.3756, 0.4696)

No. 3
The following is a PBE calculation of LaNiP after structural relaxation, from Alexandria via LeMat-Bulk.

Values from the calculation:
- Fermi-level density of states (states/eV/atom) = 0.51
- ΔH_f (0 K) (eV/atom) = -1.17
- size of the total moment (μB/atom) = 0.00

Lattice parameters (Å, degrees): 4.0302 4.0302 16.4180 90.00 90.00 120.00
Element x y z (fractional)
Ni (0.3333, 0.6667, 0.1234)
P (0.6667, 0.3333, 0.3743)
Ni (0.6667, 0.3333, 0.8766)
La (0.0000, 0.0000, 0.2500)
La (0.0000, 0.0000, 0.5000)
P (0.3333, 0.6667, 0.8743)
P (0.3333, 0.6667, 0.6257)
Ni (0.3333, 0.6667, 0.3766)
La (0.0000, 0.0000, 0.0000)
La (0.0000, 0.0000, 0.7500)
Ni (0.6667, 0.3333, 0.6234)
P (0.6667, 0.3333, 0.1257)

No. 4
The following is a PBE calculation of Li2BeAgC after structural relaxation, from Alexandria via LeMat-Bulk.

Values from the calculation:
- Fermi-level density of states (states/eV/atom) = 0.26
- ΔH_f (0 K) (eV/atom) = 0.37
- size of the total moment (μB/atom) = 0.00

Lattice parameters (Å, degrees): 4.6267 3.1692 4.6267 90.00 90.00 90.00
Element x y z (fractional)
C (0.0000, 0.5000, 0.0000)
Li (0.0000, 0.0000, 0.5000)
Ag (0.5000, 0.5000, 0.5000)
Li (0.5000, 0.0000, 0.0000)
Be (0.0000, 0.0000, 0.0000)

Fermi-level density of states of number 2 (NbV3Ge2)? 0.55 states/eV/atom

Copy entry 4 word for word.
The following is a PBE calculation of Li2BeAgC after structural relaxation, from Alexandria via LeMat-Bulk.

Values from the calculation:
- Fermi-level density of states (states/eV/atom) = 0.26
- ΔH_f (0 K) (eV/atom) = 0.37
- size of the total moment (μB/atom) = 0.00

Lattice parameters (Å, degrees): 4.6267 3.1692 4.6267 90.00 90.00 90.00
Element x y z (fractional)
C (0.0000, 0.5000, 0.0000)
Li (0.0000, 0.0000, 0.5000)
Ag (0.5000, 0.5000, 0.5000)
Li (0.5000, 0.0000, 0.0000)
Be (0.0000, 0.0000, 0.0000)

Which formula does entry 3 have? LaNiP

The lowest Fermi-level density of states belongs to which entry? Li2BeAgC